[1]
Below is a PBEsol-optimized structure of ZnCd2Hg, with properties calculated at the meta-GGA SCAN level.

Lattice parameters (Å, degrees): 3.1075 4.2146 5.9871 90.00 90.00 90.00
Space group Pmmm (No. 47)
Inequivalent atoms, fractional coordinates:
Zn 0.0000 0.0000 0.0000 [1 per cell]
Cd 0.5000 0.5000 0.2388 [2 per cell]
Hg 0.0000 0.0000 0.5000 [1 per cell]

Mass density: 10.4 g/cm³
Total energy: -35.5400 eV/atom
Offset from the most stable computed form: 33 meV per atom
Calculated formation energy: 2.02 kcal/mol of atoms


[2]
Below is a PBEsol-optimized structure of Zn2CdHg, with properties calculated at the meta-GGA SCAN level.

Lattice parameters (Å, degrees): 3.2826 4.3035 5.2241 90.00 100.41 90.00
Space group Pm (No. 6)
Inequivalent atoms, fractional coordinates:
Zn 0.0000 0.0000 0.0000 [1 per cell]
Zn 0.1148 0.5000 0.2851 [1 per cell]
Cd 0.6552 0.0000 0.4643 [1 per cell]
Hg 0.4499 0.5000 0.8177 [1 per cell]

Mass density: 10.2 g/cm³
Total energy: -31.2952 eV/atom
Offset from the most stable computed form: 24 meV per atom
Calculated formation energy: 2.48 kcal/mol of atoms